Model i:
Material: YTl2Br
Method: DFT, SCAN
State: PBEsol geometry

Its density of states at the Fermi level is 2.4 states/eV per cell.

It has space group P4/mmm (No. 123), with a = 5.3680 Å, b = 5.3680 Å, c = 3.7206 Å, α = 90.00°, β = 90.00° and γ = 90.00°. The inequivalent atoms are Y at (0.0000, 0.0000, 0.0000), Tl at (0.0000, 0.5000, 0.5000) and Br at (0.5000, 0.5000, 0.0000).

Model ii:
Material: YTl2Br
Method: DFT, SCAN
State: PBEsol geometry

Its density of states at the Fermi level is 4.6 states/eV per cell.

It has space group Imm2 (No. 44), with a = 3.4821 Å, b = 5.6221 Å, c = 11.1793 Å, α = 90.00°, β = 90.00° and γ = 90.00°. The inequivalent atoms are Y at (0.0000, 0.0000, 0.0000), Tl at (0.0000, 0.0000, 0.5238), Tl at (0.0000, 0.5000, 0.7547) and Br at (0.0000, 0.5000, 0.3022).

Energies, relative to the best one, in meV per atom: model i 121; model ii 0.

Model i:
Material: WBr5
Method: DFT, SCAN
State: PBEsol geometry

Its density of states at the Fermi level is 22.2 states/eV per cell.

It has space group C2/m (No. 12), with a = 19.2642 Å, b = 18.3835 Å, c = 5.9716 Å, α = 90.00°, β = 90.12° and γ = 90.00°. The inequivalent atoms are W at (0.0000, 0.1094, 0.0000), W at (0.1667, 0.3908, 0.4963), Br at (0.0507, 0.0000, 0.2331), Br at (0.0546, 0.1934, 0.2527), Br at (0.0634, 0.4007, 0.2618), Br at (0.1031, 0.0986, 0.7658), Br at (0.1121, 0.3069, 0.7491), Br at (0.1157, 0.5000, 0.7284), Br at (0.2173, 0.5000, 0.2635), Br at (0.2214, 0.3060, 0.2473) and Br at (0.2303, 0.0985, 0.2676).

Model ii:
Material: WBr5
Method: DFT, SCAN
State: PBEsol geometry

Its density of states at the Fermi level is 3.7 states/eV per cell.

It has space group P4/mmm (No. 123), with a = 3.0339 Å, b = 3.0339 Å, c = 15.8403 Å, α = 90.00°, β = 90.00° and γ = 90.00°. The inequivalent atoms are W at (0.0000, 0.0000, 0.0000), Br at (0.0000, 0.0000, 0.2796), Br at (0.5000, 0.5000, 0.1009) and Br at (0.5000, 0.5000, 0.5000).

Energies, relative to the best one, in meV per atom: model i 0; model ii 946.

Model i:
Material: WBr5
Method: DFT, SCAN
State: PBEsol geometry

Its density of states at the Fermi level is 6.8 states/eV per cell.

It has space group Amm2 (No. 38), with a = 6.7288 Å, b = 3.7721 Å, c = 13.2233 Å, α = 90.00°, β = 90.00° and γ = 90.00°. The inequivalent atoms are W at (0.0000, 0.0000, 0.0000), Br at (0.0000, 0.0000, 0.3716), Br at (0.0000, 0.0000, 0.6285), Br at (0.5000, 0.0000, 0.1691), Br at (0.5000, 0.0000, 0.5016) and Br at (0.5000, 0.0000, 0.8341).

Model ii:
Material: WBr5
Method: DFT, SCAN
State: PBEsol geometry

Its density of states at the Fermi level is 2.8 states/eV per cell.

It has space group P-1 (No. 2), with a = 6.4494 Å, b = 6.9496 Å, c = 9.4242 Å, α = 108.66°, β = 90.23° and γ = 116.63°. The inequivalent atoms are W at (0.1035, 0.2156, 0.2183), Br at (0.0764, 0.8181, 0.5620), Br at (0.1228, 0.6164, 0.8498), Br at (0.2440, 0.1887, 0.9541), Br at (0.3097, 0.0060, 0.2465) and Br at (0.4453, 0.5841, 0.3401).

Energies, relative to the best one, in meV per atom: model i 839; model ii 0.